An optimized crystal structure of CdCuBr2, computed with PBE.

Summary:
excess energy over the best structure of this formula in the dataset	259.5	meV per atom
total DFT energy (no corrections)	-2.1192	eV/atom
volume	27.409	Å³ per atom
E_form (uncorrected)	-0.030	eV/atom

Lattice parameters (Å, degrees): 3.9686 7.0637 3.9110 90.00 90.00 90.00
Sites, in units of the cell vectors:
1 Br 0.0000 0.0000 0.0000
2 Br 0.5000 0.5000 0.0000
3 Cd 0.5000 0.0000 0.5000
4 Cu 0.0000 0.5000 0.5000